[1]
Here is crystalline ZrCuMoAs2 at its relaxed geometry from Alexandria via LeMat-Bulk. Energies are from PBEsol.

Cell lengths 4.7221, 5.0031, 5.0031 Å; angles 90.00, 90.00, 90.00 degrees
Site moments in Bohr magnetons follow the coordinates.
Element x y z (fractional)
Mo (0.5000, 0.5000, 0.5000)  3.46
As (0.0000, 0.5000, 0.0000)  -0.06
Zr (0.0000, 0.0000, 0.0000)  -0.03
As (0.0000, 0.0000, 0.5000)  -0.06
Cu (0.5000, 0.0000, 0.0000)  -0.01

Values from the calculation:
Its energy of formation is 1.213 eV per atom. The space group is P4/mmm.


[2]
Here is crystalline Fe2NiP2O8 at its relaxed geometry from Alexandria via LeMat-Bulk. Energies are from PBEsol.

Cell lengths 4.7718, 5.9073, 10.0657 Å; angles 90.64, 90.00, 90.00 degrees
Site moments in Bohr magnetons follow the coordinates.
Element x y z (fractional)
O (0.2249, 0.5336, 0.0849)  0.14
O (0.8092, 0.0548, 0.4259)  0.11
O (0.2489, 0.2689, 0.8517)  0.09
O (0.8087, 0.2597, 0.2020)  0.10
O (0.6894, 0.0507, 0.9277)  0.10
O (0.6836, 0.2574, 0.7045)  0.11
Ni (0.0105, 0.2434, 0.0237)  1.52
Fe (0.4874, 0.2413, 0.5246)  3.66
O (0.3087, 0.7403, 0.7980)  0.10
O (0.2876, 0.5346, 0.5832)  0.13
O (0.7489, 0.7311, 0.1483)  0.09
P (0.5715, 0.2522, 0.8504)  0.01
O (0.7498, 0.7346, 0.6510)  0.09
Fe (0.0003, 0.4965, 0.7475)  3.60
O (0.2498, 0.2654, 0.3490)  0.09
P (0.4284, 0.7467, 0.6559)  0.02
O (0.1894, 0.9493, 0.0723)  0.10
O (0.3092, 0.9452, 0.5741)  0.11
Ni (0.5105, 0.7566, 0.9763)  1.52
O (0.7249, 0.4664, 0.9151)  0.14
Fe (0.5003, 0.5035, 0.2525)  3.60
O (0.7876, 0.4654, 0.4168)  0.13
P (0.0715, 0.7478, 0.1496)  0.01
P (0.9284, 0.2533, 0.3441)  0.02
Fe (0.9874, 0.7587, 0.4754)  3.66
O (0.1836, 0.7426, 0.2955)  0.11

Values from the calculation:
As for the energy: -7.5399 eV/atom. The space group is P2_1.


[3]
Here is crystalline Sr2TaSb at its relaxed geometry from Alexandria via LeMat-Bulk. Energies are from PBEsol.

Cell lengths 4.5365, 4.5365, 6.0764 Å; angles 111.92, 111.92, 90.00 degrees
Site moments in Bohr magnetons follow the coordinates.
Element x y z (fractional)
Ta (0.0000, 0.0000, 0.0000)  0.53
Sr (0.7500, 0.2500, 0.5000)  0.02
Sb (0.5000, 0.5000, 0.0000)  -0.01
Sr (0.2500, 0.7500, 0.5000)  0.02

Values from the calculation:
As for the energy: -4.7557 eV/atom. The space group is I4/mmm.


[4]
Here is crystalline BaAlW3 at its relaxed geometry from Alexandria via LeMat-Bulk. Energies are from PBEsol.

Cell lengths 4.7693, 4.7693, 4.7693 Å; angles 90.00, 90.00, 90.00 degrees
Element x y z (fractional)
W (0.5000, 0.0000, 0.0000)
Al (0.0000, 0.0000, 0.0000)
Ba (0.5000, 0.5000, 0.5000)
W (0.0000, 0.0000, 0.5000)
W (0.0000, 0.5000, 0.0000)

Values from the calculation:
Its energy of formation is 2.081 eV per atom. The space group is Pm-3m.


[5]
Here is crystalline TcPW2 at its relaxed geometry from Alexandria via LeMat-Bulk. Energies are from PBEsol.

Cell lengths 2.9059, 3.9985, 4.9765 Å; angles 90.00, 90.00, 90.00 degrees
Element x y z (fractional)
W (0.5000, 0.5000, 0.2604)
P (0.0000, 0.0000, 0.5014)
Tc (0.5000, 0.5000, 0.7417)
W (0.0000, 0.0000, 0.9965)

Values from the calculation:
Its energy of formation is 0.087 eV per atom. The space group is Pmm2.


[6]
Here is crystalline Ni5Pt at its relaxed geometry from Alexandria via LeMat-Bulk. Energies are from PBEsol.

Cell lengths 2.5700, 4.0894, 6.5876 Å; angles 90.00, 101.25, 90.00 degrees
Site moments in Bohr magnetons follow the coordinates.
Element x y z (fractional)
Ni (0.6708, 0.0000, 0.3417)  0.69
Ni (0.4407, 0.5000, 0.8813)  0.66
Ni (0.7838, 0.5000, 0.5676)  0.65
Ni (0.9936, 0.0000, 0.9873)  0.72
Ni (0.3327, 0.0000, 0.6655)  0.75
Pt (0.1116, 0.5000, 0.2233)  0.32

Values from the calculation:
Its energy of formation is 0.018 eV per atom. The space group is Amm2.


[7]
Here is crystalline PIrS2I at its relaxed geometry from Alexandria via LeMat-Bulk. Energies are from PBEsol.

Cell lengths 4.5111, 4.7188, 4.7188 Å; angles 90.00, 90.00, 90.00 degrees
Element x y z (fractional)
S (0.0000, 0.0000, 0.5000)
Ir (0.0000, 0.0000, 0.0000)
S (0.0000, 0.5000, 0.0000)
I (0.5000, 0.5000, 0.5000)
P (0.5000, 0.0000, 0.0000)

Values from the calculation:
As for the energy: -4.7431 eV/atom. The space group is P4/mmm.


[8]
Here is crystalline Nd2IrAu at its relaxed geometry from Alexandria via LeMat-Bulk. Energies are from PBEsol.

Cell lengths 5.0403, 5.0403, 5.0403 Å; angles 60.00, 60.00, 60.00 degrees
Element x y z (fractional)
Ir (0.5000, 0.5000, 0.5000)
Au (0.0000, 0.0000, 0.0000)
Nd (0.7500, 0.7500, 0.7500)
Nd (0.2500, 0.2500, 0.2500)

Values from the calculation:
Its energy of formation is -0.637 eV per atom. The space group is Fm-3m.